Computed, not measured: crystalline Sc2NiI at its relaxed geometry at the PBE-GGA level of DFT.

Structure (POSCAR):
```
Sc2NiI
1.0
-3.624 3.624 3.546
3.624 -3.624 3.546
3.624 3.624 -3.546
Sc Ni I
4 2 2
Direct
0.067 0.625 0.942 Sc
0.375 0.317 0.442 Sc
0.683 0.125 0.058 Sc
0.875 0.933 0.558 Sc
0.000 0.000 0.000 Ni
0.750 0.250 0.500 Ni
0.250 0.750 0.500 I
0.500 0.500 0.000 I
```

Results
**Energy above the lowest structure with this stoichiometry**: 263.9 meV/atom
**Formation energy without anion corrections**: -0.157 eV per atom
**Space-group type**: I-42d (122)


Computed, not measured: crystalline NdDy2Cd2In2 at its relaxed geometry at the PBE-GGA level of DFT.

Structure (POSCAR):
```
NdDy2Cd2In2
1.0
2.484 1.434 9.043
-2.484 1.434 9.043
0.000 -2.868 9.043
Nd Dy Cd In
1 2 2 2
Direct
0.000 0.000 0.000 Nd
0.129 0.129 0.129 Dy
0.871 0.871 0.871 Dy
0.403 0.403 0.403 Cd
0.597 0.597 0.597 Cd
0.258 0.258 0.258 In
0.742 0.742 0.742 In
```

Results
**Energy relative to the elements**: -0.2721 eV/atom
**Space-group type**: R-3m (166)


Computed, not measured: crystalline CeZrPdRh at its relaxed geometry at the PBE-GGA level of DFT.

Structure (POSCAR):
```
CeZrPdRh
1.0
0.000 3.427 3.427
3.427 0.000 3.427
3.427 3.427 0.000
Ce Zr Pd Rh
1 1 1 1
Direct
0.000 0.000 0.000 Ce
0.500 0.500 0.500 Zr
0.250 0.250 0.250 Pd
0.750 0.750 0.750 Rh
```

Results
**Energy relative to the elements**: -0.5674 eV/atom
**Space-group type**: F-43m (216)


Computed, not measured: crystalline BaZnRuO6 at its relaxed geometry at the PBE-GGA level of DFT.

Structure (POSCAR):
```
BaZnRuO6
1.0
2.636 -4.797 0.000
2.636 4.797 0.000
-0.296 0.000 5.579
Ba Zn Ru O
1 1 1 6
Direct
0.000 0.000 0.000 Ba
0.648 0.352 0.500 Zn
0.324 0.676 0.500 Ru
0.026 0.460 0.281 O
0.334 0.405 0.683 O
0.373 0.013 0.314 O
0.540 0.974 0.719 O
0.595 0.666 0.317 O
0.987 0.627 0.686 O
```

Results
**Formation energy without anion corrections**: -1.241 eV per atom
**Space-group type**: C2 (5)


Computed, not measured: crystalline TeIrOsPb at its relaxed geometry at the PBE-GGA level of DFT.

Structure (POSCAR):
```
TeIrOsPb
1.0
3.406 -1.971 0.000
3.406 1.971 0.000
-2.193 0.000 7.460
Te Ir Os Pb
1 1 1 1
Direct
0.000 0.000 0.000 Te
0.222 0.222 0.658 Ir
0.600 0.600 0.794 Os
0.472 0.472 0.402 Pb
```

Results
**Energy above the lowest structure with this stoichiometry**: 9.7 meV/atom
**Formation energy without anion corrections**: 0.344 eV per atom
**Space-group type**: Cm (8)


Computed, not measured: crystalline Gd2Tm4C at its relaxed geometry at the PBE-GGA level of DFT.

Structure (POSCAR):
```
Gd2Tm4C
1.0
-2.401 2.401 8.948
2.401 -2.401 8.948
2.401 2.401 -8.948
Gd Tm C
2 4 1
Direct
0.175 0.175 0.000 Gd
0.825 0.825 0.000 Gd
0.000 0.500 0.500 Tm
0.369 0.369 0.000 Tm
0.500 0.000 0.500 Tm
0.631 0.631 0.000 Tm
0.500 0.500 0.000 C
```

Results
**Energy relative to the elements**: 0.1054 eV/atom
**Space-group type**: I4/mmm (139)


Computed, not measured: crystalline Li3Ag4Hg4 at its relaxed geometry at the PBE-GGA level of DFT.

Structure (POSCAR):
```
Li3Ag4Hg4
1.0
3.204 0.000 0.000
0.012 3.819 0.000
1.484 1.863 16.804
Li Ag Hg
3 4 4
Direct
0.000 0.000 0.000 Li
0.366 0.365 0.270 Li
0.634 0.635 0.730 Li
0.091 0.093 0.814 Ag
0.272 0.272 0.456 Ag
0.728 0.728 0.544 Ag
0.909 0.907 0.186 Ag
0.178 0.179 0.642 Hg
0.458 0.456 0.090 Hg
0.542 0.544 0.910 Hg
0.822 0.821 0.358 Hg
```

Results
**Energy relative to the elements**: -0.1713 eV/atom
**Energy above the lowest structure with this stoichiometry**: 0.0 meV/atom
**Space-group type**: P-1 (2)


Computed, not measured: crystalline ScZnRe at its relaxed geometry at the PBE-GGA level of DFT.

Structure (POSCAR):
```
ScZnRe
1.0
-1.673 1.673 4.432
1.673 -1.673 4.432
1.673 1.673 -4.432
Sc Zn Re
1 1 1
Direct
0.000 0.000 0.000 Sc
0.314 0.314 0.000 Zn
0.678 0.678 0.000 Re
```

Results
**Energy relative to the elements**: 0.0414 eV/atom
**Energy above the lowest structure with this stoichiometry**: 0.0 meV/atom
**Space-group type**: I4mm (107)


Computed, not measured: crystalline Ti6HO2 at its relaxed geometry at the PBE-GGA level of DFT.

Structure (POSCAR):
```
Ti6HO2
1.0
4.758 0.000 0.000
0.000 5.196 0.000
0.000 0.000 8.946
Ti H O
12 2 4
Direct
0.233 0.164 0.000 Ti
0.249 0.169 0.327 Ti
0.249 0.169 0.673 Ti
0.251 0.669 0.173 Ti
0.251 0.669 0.827 Ti
0.267 0.664 0.500 Ti
0.733 0.336 0.500 Ti
0.749 0.331 0.173 Ti
0.749 0.331 0.827 Ti
0.751 0.831 0.327 Ti
0.751 0.831 0.673 Ti
0.767 0.836 0.000 Ti
0.000 0.000 0.500 H
0.500 0.500 0.000 H
0.000 0.500 0.338 O
0.000 0.500 0.662 O
0.500 0.000 0.162 O
0.500 0.000 0.838 O
```

Results
**Electronic total energy**: -8.0392 eV per atom
**Space-group type**: Pnnm (58)


Computed, not measured: crystalline NaTlHg at its relaxed geometry at the PBE-GGA level of DFT.

Structure (POSCAR):
```
NaTlHg
1.0
0.000 3.610 3.610
3.610 0.000 3.610
3.610 3.610 0.000
Na Tl Hg
1 1 1
Direct
0.000 0.000 0.000 Na
0.500 0.500 0.500 Tl
0.250 0.250 0.250 Hg
```

Results
**Energy relative to the elements**: -0.1051 eV/atom
**Energy above the lowest structure with this stoichiometry**: 58.4 meV/atom
**Space-group type**: F-43m (216)


Computed, not measured: crystalline Rb3Mg2TlCl8 at its relaxed geometry at the PBE-GGA level of DFT.

Structure (POSCAR):
```
Rb3Mg2TlCl8
1.0
7.841 0.000 0.000
-3.921 6.791 0.000
0.000 0.000 9.445
Rb Mg Tl Cl
3 2 1 8
Direct
0.000 0.000 0.000 Rb
0.333 0.667 0.613 Rb
0.667 0.333 0.387 Rb
0.333 0.667 0.186 Mg
0.667 0.333 0.814 Mg
0.000 0.000 0.500 Tl
0.176 0.352 0.293 Cl
0.176 0.824 0.293 Cl
0.333 0.667 0.943 Cl
0.352 0.176 0.707 Cl
0.648 0.824 0.293 Cl
0.667 0.333 0.057 Cl
0.824 0.176 0.707 Cl
0.824 0.648 0.707 Cl
```

Results
**Formation energy without anion corrections**: -1.749 eV per atom
**Space-group type**: P-3m1 (164)


Computed, not measured: crystalline HgGe at its relaxed geometry at the PBE-GGA level of DFT.

Structure (POSCAR):
```
HgGe
1.0
2.896 0.000 0.000
0.000 3.035 0.000
0.000 0.000 5.206
Hg Ge
1 1
Direct
0.000 0.000 0.000 Hg
0.000 0.500 0.500 Ge
```

Results
**Energy relative to the elements**: 0.2621 eV/atom
**Energy above the lowest structure with this stoichiometry**: 112.2 meV/atom
**Space-group type**: Pmmm (47)


Computed, not measured: crystalline NaPtAu at its relaxed geometry at the PBE-GGA level of DFT.

Structure (POSCAR):
```
NaPtAu
1.0
2.191 1.265 5.211
-2.191 1.265 5.211
0.000 -2.530 5.211
Na Pt Au
1 1 1
Direct
0.000 0.000 0.000 Na
0.823 0.823 0.823 Pt
0.178 0.178 0.178 Au
```

Results
**Energy relative to the elements**: 0.2365 eV/atom
**Energy above the lowest structure with this stoichiometry**: 571.8 meV/atom
**Space-group type**: R3m (160)


Computed, not measured: crystalline ZnCdSe at its relaxed geometry at the PBE-GGA level of DFT.

Structure (POSCAR):
```
ZnCdSe
1.0
0.000 3.088 5.793
1.931 0.000 5.793
1.931 3.088 0.000
Zn Cd Se
1 1 1
Direct
0.000 0.000 0.000 Zn
0.678 0.678 0.322 Cd
0.365 0.365 0.635 Se
```

Results
**Energy above the lowest structure with this stoichiometry**: 210.5 meV/atom
**Formation energy without anion corrections**: -0.014 eV per atom
**Space-group type**: Fmm2 (42)


Computed, not measured: crystalline KRu2Rh at its relaxed geometry at the PBE-GGA level of DFT.

Structure (POSCAR):
```
KRu2Rh
1.0
1.384 0.799 10.174
-1.384 0.799 10.174
0.000 -1.598 10.174
K Ru Rh
1 2 1
Direct
0.000 0.000 0.000 K
0.237 0.237 0.237 Ru
0.763 0.763 0.763 Ru
0.500 0.500 0.500 Rh
```

Results
**Energy relative to the elements**: 0.7390 eV/atom
**Energy above the lowest structure with this stoichiometry**: 145.3 meV/atom
**Space-group type**: R-3m (166)


Computed, not measured: crystalline CdIr at its relaxed geometry at the PBE-GGA level of DFT.

Structure (POSCAR):
```
CdIr
1.0
7.333 0.000 0.000
0.000 4.431 0.000
0.000 0.000 5.178
Cd Ir
4 4
Direct
0.156 0.250 0.092 Cd
0.344 0.750 0.592 Cd
0.656 0.250 0.408 Cd
0.844 0.750 0.908 Cd
0.009 0.250 0.589 Ir
0.491 0.750 0.089 Ir
0.509 0.250 0.911 Ir
0.991 0.750 0.411 Ir
```

Results
**Energy relative to the elements**: 0.3927 eV/atom
**Space-group type**: Pnma (62)


Computed, not measured: crystalline CaNi6Ge12 at its relaxed geometry at the PBE-GGA level of DFT.

Structure (POSCAR):
```
CaNi6Ge12
1.0
5.743 3.316 2.754
-5.743 3.316 2.754
0.000 -6.632 2.754
Ca Ni Ge
1 6 12
Direct
0.000 0.000 0.000 Ca
0.287 0.287 0.701 Ni
0.287 0.701 0.287 Ni
0.299 0.713 0.713 Ni
0.701 0.287 0.287 Ni
0.713 0.299 0.713 Ni
0.713 0.713 0.299 Ni
0.121 0.500 0.879 Ge
0.121 0.879 0.500 Ge
0.135 0.397 0.397 Ge
0.397 0.135 0.397 Ge
0.397 0.397 0.135 Ge
0.500 0.121 0.879 Ge
0.500 0.879 0.121 Ge
0.603 0.603 0.865 Ge
0.603 0.865 0.603 Ge
0.865 0.603 0.603 Ge
0.879 0.121 0.500 Ge
0.879 0.500 0.121 Ge
```

Results
**Energy relative to the elements**: -0.1056 eV/atom
**Space-group type**: R-3m (166)